This record from Alexandria describes an optimized crystal structure of Ta2AuBr. The functional is PBE-GGA.

abc: 5.5638 5.5638 5.5638
angles: 146.46 126.67 64.49
Last column: nearest neighbours and their distance in Å.
Positions (direct):
Au: 0.7500 0.2500 0.5000  4 Ta 2.90, 4 Br 2.97, 2 Au 3.21
Ta: 0.4928 0.4928 0.0000  2 Br 2.79, 2 Au 2.90, 4 Ta 2.97
Ta: 0.0072 0.0072 0.0000  2 Br 2.79, 2 Au 2.90, 4 Ta 2.97
Br: 0.2500 0.7500 0.5000  4 Ta 2.79, 4 Au 2.97

For the polymorph energy (0 for the lowest one), the calculation gives 503 meV per atom. Its raw formation energy is 588 meV per atom.

***

This record from Alexandria describes an optimized crystal structure of TaAuBr2. The functional is PBE-GGA.

abc: 3.2339 3.2340 8.6379
angles: 90.00 90.00 89.99
Last column: nearest neighbours and their distance in Å.
Positions (direct):
Ta: 0.0000 0.0000 0.5199  4 Br 2.84, 4 Au 2.87
Br: 0.5000 0.5000 0.3258  4 Ta 2.84
Br: 0.0000 0.0000 0.9334  4 Au 2.93, 4 Br 3.23
Au: 0.5000 0.5000 0.7208  4 Ta 2.87, 4 Br 2.93

For the polymorph energy (0 for the lowest one), the calculation gives 253 meV per atom. Its raw formation energy is 7 meV per atom.